BaTaW2 | GGA-PBEsol | optimized geometry

Cell and atoms, written as CIF:
```
data_BaTaW2
_chemical_formula_sum 'Ba2 Ta2 W4'
_space_group_name_H-M_alt 'I m m 2'
_space_group_IT_number 44
_cell_length_a 3.273
_cell_length_b 4.443
_cell_length_c 14.114
_cell_angle_alpha 90.00
_cell_angle_beta 90.00
_cell_angle_gamma 90.00
loop_
_space_group_symop_operation_xyz
'x,y,z'
'-x,-y,z'
'-x,y,z'
'x,-y,z'
'x+1/2,y+1/2,z+1/2'
'-x+1/2,-y+1/2,z+1/2'
'-x+1/2,y+1/2,z+1/2'
'x+1/2,-y+1/2,z+1/2'
loop_
_atom_site_label
_atom_site_type_symbol
_atom_site_fract_x
_atom_site_fract_y
_atom_site_fract_z
Ba1 Ba 0.000 0.000 0.000
Ta1 Ta 0.000 0.500 0.762
W1 W 0.000 0.000 0.652
W2 W 0.000 0.500 0.282
```

Results
As for the formation energy: 1.06 eV per atom. The theoretical density comes out at 11.1 g/cm3. The magnetic moment is 0.000 Bohr magnetons per cell. Its offset from the most stable computed form is 82.6 meV/atom.